1.
Material: TbAu2I6
Method: DFT, GGA-PBE
State: relaxed

abc: 8.3475 10.6068 10.6068
angles: 91.35 73.26 73.26
Fractional positions:
Tb 0.2500 0.0844 0.9156
Tb 0.7500 0.9156 0.0844
Au 0.1995 0.7093 0.7363
Au 0.3005 0.2637 0.2907
Au 0.8005 0.2907 0.2637
Au 0.6995 0.7363 0.7093
I 0.5623 0.5582 0.6570
I 0.9377 0.3430 0.4418
I 0.4377 0.4418 0.3430
I 0.0623 0.6570 0.5582
I 0.7711 0.9554 0.3466
I 0.7289 0.6534 0.0446
I 0.2289 0.0446 0.6534
I 0.2711 0.3466 0.9554
I 0.1666 0.8047 0.9817
I 0.3334 0.0183 0.1953
I 0.8334 0.1953 0.0183
I 0.6666 0.9817 0.8047

Output
- E_form (uncorrected): -0.5595 eV per atom


2.
Material: TcAu2I
Method: DFT, GGA-PBE
State: relaxed

abc: 4.9560 4.9560 4.9560
angles: 60.00 60.00 60.00
Each line ends with the local moment (μB).
Fractional positions:
I 0.5000 0.5000 0.5000  0.07
Au 0.2500 0.2500 0.2500  0.06
Au 0.7500 0.7500 0.7500  0.06
Tc 0.0000 0.0000 0.0000  3.09

Output
- Offset from the most stable computed form: 0.1944 eV/atom
- E_form (uncorrected): 0.9629 eV per atom


3.
Material: TcAu3I
Method: DFT, GGA-PBE
State: relaxed

abc: 5.1532 5.1532 5.1532
angles: 90.00 90.00 90.00
Each line ends with the local moment (μB).
Fractional positions:
I 0.5000 0.5000 0.5000  0.01
Au 0.0000 0.5000 0.0000  0.07
Au 0.0000 0.0000 0.5000  0.18
Au 0.5000 0.0000 0.0000  0.01
Tc 0.0000 0.0000 0.0000  2.25

Output
- Offset from the most stable computed form: 0.0000 eV/atom
- E_form (uncorrected): 1.1334 eV per atom


- E_form (uncorrected) of number 3 (TcAu3I)?
  1.1334 eV per atom